Compound: NaTaInCo2
Source: Alexandria via LeMat-Bulk
Functional: SCAN
Structure: single point on PBEsol structure

```
NaTaInCo2
1.0
4.280 0.000 0.000
0.000 4.280 0.000
0.000 0.000 4.588
Co In Na Ta
2 1 1 1
direct
0.500 0.000 0.000
0.000 0.500 0.000
0.000 0.000 0.500
0.000 0.000 0.000
0.500 0.500 0.500
```

Values from the calculation:
Formation enthalpy at 0 K (meV/atom): 1587



Compound: Nd2In8Co
Source: Alexandria via LeMat-Bulk
Functional: SCAN
Structure: single point on PBEsol structure

```
Nd2In8Co
1.0
-4.391 -0.923 -0.801
0.181 -3.448 2.976
-3.219 7.551 8.945
In Nd Co
8 2 1
direct
0.500 0.500 0.693
0.000 0.500 0.500
0.000 0.500 0.883
0.500 0.000 0.883
0.500 0.000 0.117
0.000 0.500 0.117
0.500 0.000 0.500
0.500 0.500 0.307
0.000 0.000 0.306
0.000 0.000 0.694
0.000 0.000 0.000
```

Values from the calculation:
Formation enthalpy at 0 K (meV/atom): -422



Compound: NdInCo2
Source: Alexandria via LeMat-Bulk
Functional: SCAN
Structure: single point on PBEsol structure

```
NdInCo2
1.0
-3.698 -1.211 -0.805
1.411 -1.183 -4.703
1.696 -6.626 2.176
Co In Nd
4 2 2
direct
0.000 0.000 0.000
0.500 0.250 0.082
0.000 0.500 0.000
0.500 0.750 0.918
0.000 0.750 0.663
0.000 0.250 0.337
0.500 0.250 0.713
0.500 0.750 0.287
```

Values from the calculation:
Formation enthalpy at 0 K (meV/atom): -231



Compound: Nd12InCo6
Source: Alexandria via LeMat-Bulk
Functional: SCAN
Structure: single point on PBEsol structure

```
Nd12InCo6
1.0
-1.874 6.969 -4.496
-4.006 0.300 7.494
8.397 -0.370 1.287
Co Nd In
6 12 1
direct
0.500 0.888 0.388
0.500 0.112 0.612
0.112 0.612 0.500
0.612 0.500 0.112
0.888 0.388 0.500
0.388 0.500 0.888
0.695 0.502 0.807
0.305 0.498 0.193
0.193 0.305 0.498
0.807 0.695 0.502
0.498 0.193 0.305
0.112 0.807 0.305
0.502 0.807 0.695
0.695 0.888 0.193
0.193 0.695 0.888
0.807 0.305 0.112
0.888 0.193 0.695
0.305 0.112 0.807
0.000 0.000 0.000
```

Values from the calculation:
Formation enthalpy at 0 K (meV/atom): -83



Compound: InCoNi6
Source: Alexandria via LeMat-Bulk
Functional: SCAN
Structure: single point on PBEsol structure

```
InCoNi6
1.0
-5.486 2.833 -0.420
0.445 -4.401 -4.328
-3.979 -6.751 6.455
Ni Co In
24 4 4
direct
0.369 0.112 0.382
0.641 0.885 0.133
0.359 0.115 0.867
0.641 0.885 0.867
0.888 0.631 0.618
0.631 0.888 0.382
0.631 0.888 0.618
0.369 0.112 0.618
0.112 0.369 0.618
0.112 0.369 0.382
0.500 0.500 0.000
0.500 0.500 0.500
0.115 0.359 0.133
0.244 0.756 0.738
0.756 0.244 0.262
0.885 0.641 0.867
0.000 0.000 0.500
0.885 0.641 0.133
0.888 0.631 0.382
0.244 0.756 0.262
0.359 0.115 0.133
0.115 0.359 0.867
0.000 0.000 0.000
0.756 0.244 0.738
0.000 0.000 0.745
0.745 0.255 0.500
0.255 0.745 0.500
0.000 0.000 0.255
0.744 0.256 0.000
0.500 0.500 0.253
0.500 0.500 0.747
0.256 0.744 0.000
```

Values from the calculation:
Formation enthalpy at 0 K (meV/atom): 23



Compound: InCoNi2
Source: Alexandria via LeMat-Bulk
Functional: SCAN
Structure: single point on PBEsol structure

```
InCoNi2
1.0
2.800 0.000 0.000
-1.400 4.201 -0.019
0.000 -0.994 4.297
Ni Co In
2 1 1
direct
0.258 0.516 0.279
0.742 0.484 0.721
0.000 0.000 0.500
0.500 0.000 0.000
```

Values from the calculation:
Formation enthalpy at 0 K (meV/atom): 174



Compound: InCoNi2
Source: Alexandria via LeMat-Bulk
Functional: SCAN
Structure: single point on PBEsol structure

```
InCoNi2
1.0
2.986 0.000 0.000
0.000 2.986 0.000
0.000 0.000 5.646
Ni Co In
2 1 1
direct
0.000 0.000 0.031
0.500 0.500 0.255
0.000 0.000 0.461
0.500 0.500 0.753
```

Values from the calculation:
Formation enthalpy at 0 K (meV/atom): 117



Compound: InCoNi2
Source: Alexandria via LeMat-Bulk
Functional: SCAN
Structure: single point on PBEsol structure

```
InCoNi2
1.0
3.689 0.000 0.000
0.000 3.681 0.000
0.000 0.000 3.681
Ni Co In
2 1 1
direct
0.000 0.000 0.500
0.000 0.500 0.000
0.500 0.500 0.500
0.500 0.000 0.000
```

Values from the calculation:
Formation enthalpy at 0 K (meV/atom): 55



Compound: InCoNi2
Source: Alexandria via LeMat-Bulk
Functional: SCAN
Structure: single point on PBEsol structure

```
InCoNi2
1.0
2.744 0.000 0.000
1.372 2.377 0.000
1.372 0.792 8.020
Ni In Co
2 1 1
direct
0.006 0.006 0.981
0.751 0.751 0.748
0.251 0.251 0.248
0.492 0.492 0.523
```

Values from the calculation:
Formation enthalpy at 0 K (meV/atom): 425



Compound: InCoNi
Source: Alexandria via LeMat-Bulk
Functional: SCAN
Structure: single point on PBEsol structure

```
InCoNi
1.0
-2.196 0.089 3.441
-2.114 -3.295 1.159
1.206 -2.161 3.248
In Co Ni
1 1 1
direct
0.250 0.250 0.250
0.500 0.500 0.500
0.000 0.000 0.000
```

Values from the calculation:
Distance to the lowest polymorph of the same formula (eV/f.u.): 1.178
Formation enthalpy at 0 K (meV/atom): 656



Compound: InCoNi2
Source: Alexandria via LeMat-Bulk
Functional: SCAN
Structure: single point on PBEsol structure

```
InCoNi2
1.0
2.777 0.000 0.000
0.000 3.292 0.000
0.000 0.000 5.527
Ni In Co
2 1 1
direct
0.000 0.000 0.716
0.000 0.000 0.284
0.500 0.500 0.000
0.500 0.500 0.500
```

Values from the calculation:
Formation enthalpy at 0 K (meV/atom): 65



Compound: InCoNi
Source: Alexandria via LeMat-Bulk
Functional: SCAN
Structure: single point on PBEsol structure

```
InCoNi
1.0
2.769 0.000 0.000
0.000 4.104 0.000
0.000 -2.052 3.554
Co In Ni
1 1 1
direct
0.500 0.000 0.000
0.000 0.333 0.667
0.500 0.667 0.333
```

Values from the calculation:
Distance to the lowest polymorph of the same formula (eV/f.u.): 0.000
Formation enthalpy at 0 K (meV/atom): 263



Compound: InCoNi2
Source: Alexandria via LeMat-Bulk
Functional: SCAN
Structure: single point on PBEsol structure

```
InCoNi2
1.0
2.765 0.000 0.000
0.000 4.350 -0.006
0.000 -1.112 4.205
Ni Co In
2 1 1
direct
0.000 0.500 0.000
0.000 0.000 0.500
0.500 0.000 0.000
0.500 0.500 0.500
```

Values from the calculation:
Formation enthalpy at 0 K (meV/atom): 105



Compound: InCoNiTe2
Source: Alexandria via LeMat-Bulk
Functional: SCAN
Structure: single point on PBEsol structure

```
InCoNiTe2
1.0
-3.952 -1.547 1.199
2.209 -3.429 2.855
-0.069 3.159 3.848
In Ni Te Co
1 1 2 1
direct
0.500 0.500 0.500
0.500 0.000 0.000
0.000 0.500 0.000
0.000 0.000 0.500
0.000 0.000 0.000
```

Values from the calculation:
E (eV/atom): -27.776



Compound: In2Co2O7
Source: Alexandria via LeMat-Bulk
Functional: SCAN
Structure: single point on PBEsol structure

```
In2Co2O7
1.0
-6.640 0.456 1.321
-3.467 -5.514 1.902
-2.236 -0.568 6.381
In O Co
4 14 4
direct
0.625 0.625 0.625
0.625 0.125 0.625
0.625 0.625 0.125
0.125 0.625 0.625
0.203 0.797 0.797
0.203 0.797 0.203
0.500 0.500 0.500
0.750 0.750 0.750
0.047 0.453 0.047
0.453 0.047 0.047
0.203 0.203 0.797
0.797 0.203 0.203
0.453 0.047 0.453
0.047 0.453 0.453
0.797 0.203 0.797
0.453 0.453 0.047
0.797 0.797 0.203
0.047 0.047 0.453
0.125 0.125 0.125
0.125 0.625 0.125
0.125 0.125 0.625
0.625 0.125 0.125
```

Values from the calculation:
E (eV/atom): -14.615



Compound: InCoP2O
Source: Alexandria via LeMat-Bulk
Functional: SCAN
Structure: single point on PBEsol structure

```
InCoP2O
1.0
-3.071 -0.318 1.373
-1.043 -3.393 -3.117
1.673 -3.257 2.985
In P O Co
1 2 1 1
direct
0.500 0.500 0.500
0.000 0.500 0.000
0.000 0.000 0.500
0.500 0.000 0.000
0.000 0.000 0.000
```

Values from the calculation:
E (eV/atom): -15.469



Compound: InCoOs
Source: Alexandria via LeMat-Bulk
Functional: SCAN
Structure: single point on PBEsol structure

```
InCoOs
1.0
-2.406 1.342 -0.536
0.077 -2.805 -0.021
-1.439 -0.086 6.240
Os In Co
1 1 1
direct
0.667 0.333 0.305
0.333 0.667 0.680
0.000 0.000 0.015
```

Values from the calculation:
Formation enthalpy at 0 K (meV/atom): 540



Compound: InCoOs2
Source: Alexandria via LeMat-Bulk
Functional: SCAN
Structure: single point on PBEsol structure

```
InCoOs2
1.0
-0.118 -2.253 -1.572
0.207 -0.311 2.724
-8.863 -0.007 0.674
In Os Co
1 2 1
direct
0.500 0.500 0.263
0.000 0.000 0.988
0.500 0.500 0.739
0.000 0.000 0.510
```

Values from the calculation:
Formation enthalpy at 0 K (meV/atom): 686



Compound: InCo2P
Source: Alexandria via LeMat-Bulk
Functional: SCAN
Structure: single point on PBEsol structure

```
InCo2P
1.0
3.330 0.000 0.000
1.665 4.161 0.020
1.665 1.498 3.882
In P Co
1 1 2
direct
0.500 0.000 0.000
0.000 0.500 0.500
0.308 0.692 0.692
0.692 0.308 0.308
```

Values from the calculation:
Formation enthalpy at 0 K (meV/atom): 144



Compound: InCo2P
Source: Alexandria via LeMat-Bulk
Functional: SCAN
Structure: single point on PBEsol structure

```
InCo2P
1.0
-2.242 1.501 -0.702
-0.681 -2.079 -2.273
-1.968 -2.962 5.489
Co In P
2 1 1
direct
0.762 0.262 0.525
0.086 0.086 0.171
0.449 0.449 0.898
0.203 0.703 0.406
```

Values from the calculation:
Formation enthalpy at 0 K (meV/atom): -64